# KPr2CuO5 | Alexandria | PBE-GGA | optimized geometry
data_KPr2CuO5
_chemical_formula_sum 'K2 Pr4 Cu2 O10'
_cell_length_a 6.847
_cell_length_b 6.847
_cell_length_c 5.708
_cell_angle_alpha 90.00
_cell_angle_beta 90.00
_cell_angle_gamma 90.00
_space_group_name_H-M_alt 'P 4/m b m'
_space_group_IT_number 127
_space_group_name_Hall '-P 4 2ab'
loop_
_atom_site_label
_atom_site_type_symbol
_atom_site_fract_x
_atom_site_fract_y
_atom_site_fract_z
K1 K 0.000 0.000 0.000
Pr1 Pr 0.178 0.322 0.500
Cu1 Cu 0.000 0.500 0.000
O1 O 0.000 0.000 0.500
O2 O 0.129 0.629 0.240
# raw formation energy: -1962 kJ/mol of formula units
# magnetization: 0.00 μB/f.u.
# total energy: -6.653 eV/atom

***

# Ta5Pt | Alexandria | PBE-GGA | optimized geometry
data_Ta5Pt
_chemical_formula_sum 'Ta10 Pt2'
_cell_length_a 4.628
_cell_length_b 13.561
_cell_length_c 3.371
_cell_angle_alpha 90.00
_cell_angle_beta 90.00
_cell_angle_gamma 90.00
_space_group_name_H-M_alt 'C m m m'
_space_group_IT_number 65
_space_group_name_Hall '-C 2 2'
loop_
_atom_site_label
_atom_site_type_symbol
_atom_site_fract_x
_atom_site_fract_y
_atom_site_fract_z
Ta1 Ta 0.000 0.000 0.000
Ta2 Ta 0.000 0.164 0.500
Ta3 Ta 0.000 0.333 0.000
Pt1 Pt 0.000 0.500 0.500
# magnetization: 0.00 μB/f.u.
# polymorph energy (0 for the lowest one): 0.20 eV/f.u.
# total energy: -11.124 eV/atom

***

# RbPaMnSe4 | Alexandria | PBE-GGA | optimized geometry
data_RbPaMnSe4
_chemical_formula_sum 'Rb2 Pa2 Mn2 Se8'
_cell_length_a 6.767
_cell_length_b 6.859
_cell_length_c 9.618
_cell_angle_alpha 90.00
_cell_angle_beta 109.74
_cell_angle_gamma 90.00
_space_group_name_H-M_alt 'P 1 21/m 1'
_space_group_IT_number 11
_space_group_name_Hall '-P 2yb'
loop_
_atom_site_label
_atom_site_type_symbol
_atom_site_fract_x
_atom_site_fract_y
_atom_site_fract_z
Rb1 Rb 0.246 0.250 0.449
Pa1 Pa 0.271 0.250 0.949
Mn1 Mn 0.272 0.750 0.162
Se1 Se 0.032 0.750 0.911
Se2 Se 0.061 0.750 0.321
Se3 Se 0.470 0.513 0.804
# raw formation energy: -736 kJ/mol of formula units
# magnetization: 5.07 μB/f.u.
# total energy: -5.885 eV/atom

***

# SmEuZn | Alexandria | PBE-GGA | optimized geometry
data_SmEuZn
_chemical_formula_sum 'Sm2 Eu2 Zn2'
_cell_length_a 3.717
_cell_length_b 3.717
_cell_length_c 12.822
_cell_angle_alpha 90.00
_cell_angle_beta 90.00
_cell_angle_gamma 90.00
_space_group_name_H-M_alt 'I 4 m m'
_space_group_IT_number 107
_space_group_name_Hall 'I 4 -2'
loop_
_atom_site_label
_atom_site_type_symbol
_atom_site_fract_x
_atom_site_fract_y
_atom_site_fract_z
Sm1 Sm 0.000 0.000 0.000
Eu1 Eu 0.000 0.000 0.723
Zn1 Zn 0.000 0.000 0.373
# magnetization: 7.35 μB/f.u.
# polymorph energy (0 for the lowest one): 0.00 eV/f.u.
# total energy: -5.601 eV/atom

***

# Ir2PtRh3 | Alexandria | PBE-GGA | optimized geometry
data_Ir2PtRh3
_chemical_formula_sum 'Ir2 Pt1 Rh3'
_cell_length_a 2.734
_cell_length_b 2.734
_cell_length_c 11.661
_cell_angle_alpha 90.00
_cell_angle_beta 90.00
_cell_angle_gamma 90.00
_space_group_name_H-M_alt 'P 4/m m m'
_space_group_IT_number 123
_space_group_name_Hall '-P 4 2'
loop_
_atom_site_label
_atom_site_type_symbol
_atom_site_fract_x
_atom_site_fract_y
_atom_site_fract_z
Ir1 Ir 0.000 0.000 0.166
Pt1 Pt 0.000 0.000 0.500
Rh1 Rh 0.500 0.500 0.000
Rh2 Rh 0.500 0.500 0.327
# magnetization: 0.00 μB/f.u.
# polymorph energy (0 for the lowest one): 0.00 eV/f.u.
# total energy: -7.662 eV/atom

***

# Nb2TcMoN | Alexandria | PBE-GGA | optimized geometry
data_Nb2TcMoN
_chemical_formula_sum 'Nb2 Tc1 Mo1 N1'
_cell_length_a 4.264
_cell_length_b 4.264
_cell_length_c 4.075
_cell_angle_alpha 90.00
_cell_angle_beta 90.00
_cell_angle_gamma 90.00
_space_group_name_H-M_alt 'P 4/m m m'
_space_group_IT_number 123
_space_group_name_Hall '-P 4 2'
loop_
_atom_site_label
_atom_site_type_symbol
_atom_site_fract_x
_atom_site_fract_y
_atom_site_fract_z
Nb1 Nb 0.000 0.500 0.000
Tc1 Tc 0.000 0.000 0.500
Mo1 Mo 0.500 0.500 0.500
N1 N 0.500 0.500 0.000
# raw formation energy: -131 kJ/mol of formula units
# magnetization: 0.00 μB/f.u.
# total energy: -10.203 eV/atom

***

# KBaTeSe | Alexandria | PBE-GGA | optimized geometry
data_KBaTeSe
_chemical_formula_sum 'K4 Ba4 Te4 Se4'
_cell_length_a 8.235
_cell_length_b 8.235
_cell_length_c 8.235
_cell_angle_alpha 90.00
_cell_angle_beta 90.00
_cell_angle_gamma 90.00
_space_group_name_H-M_alt 'F -4 3 m'
_space_group_IT_number 216
_space_group_name_Hall 'F -4 2 3'
loop_
_atom_site_label
_atom_site_type_symbol
_atom_site_fract_x
_atom_site_fract_y
_atom_site_fract_z
K1 K 0.000 0.000 0.000
Ba1 Ba 0.000 0.000 0.500
Te1 Te 0.250 0.250 0.750
Se1 Se 0.250 0.250 0.250
# raw formation energy: -454 kJ/mol of formula units
# magnetization: 0.17 μB/f.u.
# total energy: -3.588 eV/atom